(1)
! CsKLiTl2, relaxed, DFT PBE; values from VASP
! Calculated volume = 39.2 Å³ per atom
&SYSTEM
  ibrav = 0, nat = 5, ntyp = 4
/
ATOMIC_SPECIES
K 39.10 K.upf
Tl 204.38 Tl.upf
Li 6.94 Li.upf
Cs 132.91 Cs.upf
ATOMIC_POSITIONS crystal
K 0.000 0.000 0.500
Tl 0.500 0.000 0.000
Tl 0.000 0.500 0.000
Li 0.000 0.000 0.000
Cs 0.500 0.500 0.500
CELL_PARAMETERS angstrom
5.565 0.000 0.000
0.000 5.565 0.000
0.000 0.000 6.326

---

(2)
! CsKLi2Tl, relaxed, DFT PBE; values from VASP
! Calculated volume = 42.2 Å³ per atom
&SYSTEM
  ibrav = 0, nat = 5, ntyp = 4
/
ATOMIC_SPECIES
Li 6.94 Li.upf
K 39.10 K.upf
Tl 204.38 Tl.upf
Cs 132.91 Cs.upf
ATOMIC_POSITIONS crystal
Li 0.500 0.000 0.000
K 0.000 0.000 0.500
Tl 0.000 0.000 0.000
Cs 0.500 0.500 0.500
Li 0.000 0.500 0.000
CELL_PARAMETERS angstrom
-1.815 -5.399 0.273
5.320 -1.733 1.101
-1.093 0.689 6.366

---

(3)
! CsKMg3, relaxed, DFT PBE; values from VASP
! Calculated volume = 58.6 Å³ per atom
! Energy above the most stable polymorph in this dataset = 0.000 eV per atom
&SYSTEM
  ibrav = 0, nat = 5, ntyp = 3
/
ATOMIC_SPECIES
Mg 24.30 Mg.upf
K 39.10 K.upf
Cs 132.91 Cs.upf
ATOMIC_POSITIONS crystal
Mg 0.000 0.500 0.000
K 0.000 0.000 0.000
Mg 0.500 0.000 0.000
Mg 0.000 0.000 0.500
Cs 0.500 0.500 0.500
CELL_PARAMETERS angstrom
6.640 0.000 0.000
0.000 6.640 0.000
0.000 0.000 6.640

---

(4)
! Cs2KMg, relaxed, DFT PBE; values from VASP
! Calculated volume = 69.8 Å³ per atom
! Energy above the most stable polymorph in this dataset = 0.019 eV per atom
&SYSTEM
  ibrav = 0, nat = 4, ntyp = 3
/
ATOMIC_SPECIES
Mg 24.30 Mg.upf
K 39.10 K.upf
Cs 132.91 Cs.upf
ATOMIC_POSITIONS crystal
Mg 0.500 0.500 0.500
K 0.500 0.000 0.000
Cs 0.000 0.500 0.000
Cs 0.000 0.000 0.500
CELL_PARAMETERS angstrom
6.199 0.000 0.000
0.000 6.713 0.000
0.000 0.000 6.713

---

(5)
! CsK2Mg4, relaxed, DFT PBE; values from VASP
! Calculated volume = 60.9 Å³ per atom
&SYSTEM
  ibrav = 0, nat = 7, ntyp = 3
/
ATOMIC_SPECIES
Mg 24.30 Mg.upf
K 39.10 K.upf
Cs 132.91 Cs.upf
ATOMIC_POSITIONS crystal
Mg 0.811 0.811 0.377
Mg 0.189 0.189 0.623
K 0.616 0.616 0.768
Mg 0.000 0.500 0.000
Mg 0.500 0.000 0.000
K 0.384 0.384 0.232
Cs 0.000 0.000 0.000
CELL_PARAMETERS angstrom
6.623 0.000 0.000
0.000 6.623 0.000
3.312 3.312 9.714

---

(6)
! Cs12K6Mg, relaxed, DFT PBE; values from VASP
! Calculated volume = 93.6 Å³ per atom
&SYSTEM
  ibrav = 0, nat = 19, ntyp = 3
/
ATOMIC_SPECIES
K 39.10 K.upf
Cs 132.91 Cs.upf
Mg 24.30 Mg.upf
ATOMIC_POSITIONS crystal
K 0.688 0.566 0.792
K 0.566 0.792 0.688
Cs 0.874 0.261 0.920
K 0.208 0.312 0.434
K 0.312 0.434 0.208
Cs 0.624 0.418 0.113
K 0.434 0.208 0.312
Cs 0.739 0.080 0.126
Cs 0.376 0.582 0.887
Cs 0.582 0.887 0.376
Cs 0.418 0.113 0.624
Cs 0.887 0.376 0.582
Cs 0.126 0.739 0.080
Cs 0.261 0.920 0.874
Cs 0.920 0.874 0.261
K 0.792 0.688 0.566
Cs 0.113 0.624 0.418
Cs 0.080 0.126 0.739
Mg 0.000 0.000 0.000
CELL_PARAMETERS angstrom
-6.546 11.464 3.276
-2.421 -3.607 -12.889
-2.983 -10.078 8.634

---

(7)
! Cs2KMg, relaxed, DFT PBE; values from VASP
! Calculated volume = 71.0 Å³ per atom
! Energy above the most stable polymorph in this dataset = 0.015 eV per atom
&SYSTEM
  ibrav = 0, nat = 4, ntyp = 3
/
ATOMIC_SPECIES
Cs 132.91 Cs.upf
Mg 24.30 Mg.upf
K 39.10 K.upf
ATOMIC_POSITIONS crystal
Cs 0.750 0.750 0.750
Mg 0.000 0.000 0.000
Cs 0.250 0.250 0.250
K 0.500 0.500 0.500
CELL_PARAMETERS angstrom
0.000 5.216 5.216
5.216 0.000 5.216
5.216 5.216 0.000

---

(8)
! CsKMg3, relaxed, DFT PBE; values from VASP
! Calculated volume = 67.6 Å³ per atom
! Energy above the most stable polymorph in this dataset = 0.201 eV per atom
&SYSTEM
  ibrav = 0, nat = 5, ntyp = 3
/
ATOMIC_SPECIES
Mg 24.30 Mg.upf
Cs 132.91 Cs.upf
K 39.10 K.upf
ATOMIC_POSITIONS crystal
Mg 0.000 0.000 0.500
Cs 0.000 0.000 0.000
Mg 0.000 0.500 0.000
Mg 0.500 0.000 0.000
K 0.500 0.500 0.500
CELL_PARAMETERS angstrom
-1.255 -6.527 2.087
2.168 1.635 6.416
-6.501 1.805 1.737

---

(9)
! CsK4Mg2, relaxed, DFT PBE; values from VASP
! Calculated volume = 71.9 Å³ per atom
&SYSTEM
  ibrav = 0, nat = 7, ntyp = 3
/
ATOMIC_SPECIES
K 39.10 K.upf
Cs 132.91 Cs.upf
Mg 24.30 Mg.upf
ATOMIC_POSITIONS crystal
K 0.234 0.234 0.532
K 0.500 0.000 0.000
K 0.766 0.766 0.468
K 0.000 0.500 0.000
Cs 0.000 0.000 0.000
Mg 0.577 0.577 0.846
Mg 0.423 0.423 0.154
CELL_PARAMETERS angstrom
-6.334 1.640 3.211
-3.237 -5.446 -3.603
-2.720 -7.829 6.905

---

(10)
! Cs2KMg, relaxed, DFT PBE; values from VASP
! Calculated volume = 73.8 Å³ per atom
! Energy above the most stable polymorph in this dataset = 0.000 eV per atom
&SYSTEM
  ibrav = 0, nat = 4, ntyp = 3
/
ATOMIC_SPECIES
Cs 132.91 Cs.upf
Mg 24.30 Mg.upf
K 39.10 K.upf
ATOMIC_POSITIONS crystal
Cs 0.000 0.000 0.801
Mg 0.500 0.500 0.000
Cs 0.000 0.000 0.199
K 0.500 0.500 0.500
CELL_PARAMETERS angstrom
-1.111 -3.669 -3.013
4.538 -1.730 0.433
-3.550 -6.885 9.695

---

(11)
! CsKMg2, relaxed, DFT PBE; values from VASP
! Calculated volume = 50.1 Å³ per atom
&SYSTEM
  ibrav = 0, nat = 4, ntyp = 3
/
ATOMIC_SPECIES
K 39.10 K.upf
Mg 24.30 Mg.upf
Cs 132.91 Cs.upf
ATOMIC_POSITIONS crystal
K 0.000 0.000 0.000
Mg 0.750 0.750 0.750
Mg 0.250 0.250 0.250
Cs 0.500 0.500 0.500
CELL_PARAMETERS angstrom
-3.897 -2.321 4.750
-6.513 0.713 -0.454
-3.805 -5.231 -1.137

---

(12)
! Cs2KMg, relaxed, DFT PBE; values from VASP
! Calculated volume = 77.7 Å³ per atom
! Energy above the most stable polymorph in this dataset = 0.064 eV per atom
&SYSTEM
  ibrav = 0, nat = 8, ntyp = 3
/
ATOMIC_SPECIES
K 39.10 K.upf
Cs 132.91 Cs.upf
Mg 24.30 Mg.upf
ATOMIC_POSITIONS crystal
K 0.000 0.000 0.000
Cs 0.375 0.425 0.750
Cs 0.875 0.825 0.750
Mg 0.500 0.500 0.000
Cs 0.175 0.625 0.250
Mg 0.250 0.750 0.500
K 0.750 0.250 0.500
Cs 0.575 0.125 0.250
CELL_PARAMETERS angstrom
-6.629 -8.838 4.812
9.926 -6.690 1.388
2.236 -6.084 6.994

---

no.,calculated formation energy (eV per atom)
1,0.0303
2,0.0599
3,0.6000
4,0.1776
5,0.6399
6,0.0514
7,0.1744
8,0.8013
9,0.3683
10,0.1590
11,0.3045
12,0.2231